[1]
CaMgBi | PBE | optimized geometry

Values from the calculation:
**N(E_F)**: 1.20 states/eV/f.u.
**E_form**: -36.20 kJ/mol of atoms
**Volume**: 31.506 Å³/atom

Structure (POSCAR):
```
CaMgBi
1.0
-1.9870 2.8193 8.4362
1.9870 -2.8193 8.4362
1.9870 2.8193 -8.4362
Ca Mg Bi
2 2 2
Direct
0.1567 0.1567 0.0000 Ca
0.8433 0.8433 0.0000 Ca
0.2418 0.5000 0.7418 Mg
0.7582 0.5000 0.2582 Mg
0.3479 0.3479 0.0000 Bi
0.6521 0.6521 0.0000 Bi
```



[2]
Ca2MgBi | PBE | optimized geometry

Values from the calculation:
**N(E_F)**: 1.18 states/eV/f.u.
**E_form**: -47.29 kJ/mol of atoms
**Volume**: 30.275 Å³/atom

Structure (POSCAR):
```
Ca2MgBi
1.0
5.1955 0.0000 0.0000
0.0000 5.1955 0.0000
0.0000 0.0000 4.4862
Ca Mg Bi
2 1 1
Direct
0.0000 0.5000 0.0000 Ca
0.5000 0.0000 0.0000 Ca
0.0000 0.0000 0.5000 Mg
0.5000 0.5000 0.5000 Bi
```



[3]
Ca3MgBi | PBE | optimized geometry

Values from the calculation:
**N(E_F)**: 4.80 states/eV/f.u.
**E_form**: -9.97 kJ/mol of atoms
**Volume**: 43.765 Å³/atom

Structure (POSCAR):
```
Ca3MgBi
1.0
6.0261 0.0000 0.0000
0.0000 6.0261 0.0000
0.0000 0.0000 6.0261
Ca Mg Bi
3 1 1
Direct
0.0000 0.0000 0.5000 Ca
0.0000 0.5000 0.0000 Ca
0.5000 0.0000 0.0000 Ca
0.5000 0.5000 0.5000 Mg
0.0000 0.0000 0.0000 Bi
```



[4]
CaMgBi2Mo | PBE | optimized geometry

Values from the calculation:
**N(E_F)**: 2.68 states/eV/f.u.
**E_form**: 126.06 kJ/mol of atoms
**Volume**: 37.018 Å³/atom

Structure (POSCAR):
```
CaMgBi2Mo
1.0
5.7360 0.0000 0.0000
0.0000 5.7360 0.0000
0.0000 0.0000 5.6255
Ca Mg Bi Mo
1 1 2 1
Direct
0.0000 0.0000 0.0000 Ca
0.0000 0.0000 0.5000 Mg
0.0000 0.5000 0.0000 Bi
0.5000 0.0000 0.0000 Bi
0.5000 0.5000 0.5000 Mo
```



[5]
CaMg2BiN | PBE | optimized geometry

Values from the calculation:
**N(E_F)**: 3.63 states/eV/f.u.
**ΔE_f (raw)**: 813 meV/atom
**Volume**: 30.461 Å³/atom

Structure (POSCAR):
```
CaMg2BiN
1.0
5.8362 0.0000 0.0000
0.0000 5.8362 0.0000
0.0000 0.0000 4.4715
Ca Mg Bi N
1 2 1 1
Direct
0.0000 0.0000 0.0000 Ca
0.0000 0.5000 0.5000 Mg
0.5000 0.0000 0.5000 Mg
0.5000 0.5000 0.5000 Bi
0.5000 0.5000 0.0000 N
```



[6]
CaMg2BiN | PBE | optimized geometry

Values from the calculation:
**N(E_F)**: 0.22 states/eV/f.u.
**ΔE_f (raw)**: -663 meV/atom
**Volume**: 19.638 Å³/atom

Structure (POSCAR):
```
CaMg2BiN
1.0
4.4767 0.0000 0.0000
0.0000 4.4767 0.0000
0.0000 0.0000 4.8997
Ca Mg Bi N
1 2 1 1
Direct
0.0000 0.0000 0.0000 Ca
0.0000 0.5000 0.5000 Mg
0.5000 0.0000 0.5000 Mg
0.5000 0.5000 0.0000 Bi
0.0000 0.0000 0.5000 N
```



[7]
NaCaMgBi | PBE | optimized geometry

Values from the calculation:
**E_form**: -31.84 kJ/mol of atoms
**Volume**: 29.647 Å³/atom

Structure (POSCAR):
```
NaCaMgBi
1.0
0.0000 3.8994 3.8994
3.8994 0.0000 3.8994
3.8994 3.8994 0.0000
Na Ca Mg Bi
1 1 1 1
Direct
0.0000 0.0000 0.0000 Na
0.5000 0.5000 0.5000 Ca
0.7500 0.7500 0.7500 Mg
0.2500 0.2500 0.2500 Bi
```



[8]
CaMg2BiO6 | PBE | optimized geometry

Values from the calculation:
**N(E_F)**: 6.20 states/eV/f.u.
**ΔE_f (raw)**: -1895 meV/atom
**Volume**: 12.783 Å³/atom

Structure (POSCAR):
```
CaMg2BiO6
1.0
2.7360 1.5796 4.9293
-2.7360 1.5796 4.9293
0.0000 -3.1592 4.9293
Ca Mg Bi O
1 2 1 6
Direct
0.0000 0.0000 0.0000 Ca
0.2811 0.2811 0.2811 Mg
0.7891 0.7891 0.7891 Mg
0.4897 0.4897 0.4897 Bi
0.0790 0.6444 0.4362 O
0.1865 0.5656 0.8944 O
0.4362 0.0790 0.6444 O
0.5656 0.8944 0.1865 O
0.6444 0.4362 0.0790 O
0.8944 0.1865 0.5656 O
```



[9]
CaPrMgBiO6 | PBE | optimized geometry

Values from the calculation:
**N(E_F)**: 0.00 states/eV/f.u.
**ΔE_f (raw)**: -2107 meV/atom
**Volume**: 13.468 Å³/atom

Structure (POSCAR):
```
CaPrMgBiO6
1.0
0.0000 4.0684 4.0684
4.0684 0.0000 4.0684
4.0684 4.0684 0.0000
Ca Pr Mg Bi O
1 1 1 1 6
Direct
0.0000 0.0000 0.0000 Ca
0.5000 0.5000 0.5000 Pr
0.2500 0.2500 0.2500 Mg
0.7500 0.7500 0.7500 Bi
0.0043 0.0043 0.4957 O
0.0043 0.4957 0.0043 O
0.0043 0.4957 0.4957 O
0.4957 0.0043 0.0043 O
0.4957 0.0043 0.4957 O
0.4957 0.4957 0.0043 O
```



[10]
Ca2MgBiP | PBE | optimized geometry

Values from the calculation:
**N(E_F)**: 0.30 states/eV/f.u.
**E_form**: -75.73 kJ/mol of atoms
**Volume**: 29.012 Å³/atom

Structure (POSCAR):
```
Ca2MgBiP
1.0
5.4599 0.0000 0.0000
0.0000 5.4599 0.0000
0.0000 0.0000 4.8662
Ca Mg Bi P
2 1 1 1
Direct
0.0000 0.5000 0.0000 Ca
0.5000 0.0000 0.0000 Ca
0.0000 0.0000 0.5000 Mg
0.5000 0.5000 0.5000 Bi
0.0000 0.0000 0.0000 P
```



[11]
Ca2Mg2Bi2P | PBE | optimized geometry

Values from the calculation:
**N(E_F)**: 6.09 states/eV/f.u.
**E_form**: -59.87 kJ/mol of atoms
**Volume**: 28.422 Å³/atom

Structure (POSCAR):
```
Ca2Mg2Bi2P
1.0
-2.4354 2.4354 8.3860
2.4354 -2.4354 8.3860
2.4354 2.4354 -8.3860
Ca Mg Bi P
2 2 2 1
Direct
0.1686 0.1686 0.0000 Ca
0.8314 0.8314 0.0000 Ca
0.0000 0.5000 0.5000 Mg
0.5000 0.0000 0.5000 Mg
0.3632 0.3632 0.0000 Bi
0.6368 0.6368 0.0000 Bi
0.0000 0.0000 0.0000 P
```



[12]
Ca4MgPa3Bi8 | PBE | optimized geometry

Values from the calculation:
**N(E_F)**: 10.56 states/eV/f.u.
**E_form**: -43.91 kJ/mol of atoms
**Volume**: 33.235 Å³/atom

Structure (POSCAR):
```
Ca4MgPa3Bi8
1.0
4.5424 2.6226 7.4396
-4.5424 2.6226 7.4396
0.0000 -5.2451 7.4396
Ca Mg Pa Bi
4 1 3 8
Direct
0.0000 0.0000 0.0000 Ca
0.0000 0.5000 0.5000 Ca
0.5000 0.0000 0.5000 Ca
0.5000 0.5000 0.0000 Ca
0.5000 0.5000 0.5000 Mg
0.0000 0.0000 0.5000 Pa
0.0000 0.5000 0.0000 Pa
0.5000 0.0000 0.0000 Pa
0.2440 0.7445 0.7445 Bi
0.2463 0.2463 0.2463 Bi
0.2555 0.2555 0.7560 Bi
0.2555 0.7560 0.2555 Bi
0.7445 0.2440 0.7445 Bi
0.7445 0.7445 0.2440 Bi
0.7537 0.7537 0.7537 Bi
0.7560 0.2555 0.2555 Bi
```



DFT total energy, record by record: -2.8676 -2.8598 -2.3993 -3.1313 -2.6660 -4.1420 -2.5291 -5.7766 -6.3075 -3.7626 -3.5297 -4.7761 eV per atom
Theoretical density, record by record: 4.8 4.3 2.7 5.2 3.4 5.3 4.1 5.1 6.3 3.9 4.8 8.0 g/cm³
Spin magnetization, record by record: 0.00 0.00 0.00 0.85 0.00 0.00 0.00 0.11 0.00 0.00 0.00 0.07 μB per atom